1.
Below is a relaxed Li5CdAu crystal, with properties calculated at the GGA-PBE level.

## Properties
* distance to the lowest polymorph of the same formula: 25 meV/atom
* formation enthalpy at 0 K: -0.229 eV per atom

Cell: 4.247 4.247 7.232 Å, 90.00 90.00 90.00°
Space group P4/mmm (No. 123)
Symmetry-distinct sites (fractional):
Li1 0.000 0.000 0.000 (multiplicity 1)
Li2 0.000 0.500 0.247 (multiplicity 4)
Cd1 0.000 0.000 0.500 (multiplicity 1)
Au1 0.500 0.500 0.000 (multiplicity 1)

2.
Below is a relaxed CsNdSiSe4 crystal, with properties calculated at the GGA-PBE level.

## Properties
* uncorrected formation energy: -1.271 eV per atom

Cell: 6.804 7.084 9.910 Å, 90.00 108.40 90.00°
Space group P2_1/m (No. 11)
Symmetry-distinct sites (fractional):
Cs1 0.236 0.250 0.436 (multiplicity 2)
Nd1 0.271 0.250 0.953 (multiplicity 2)
Si1 0.288 0.750 0.168 (multiplicity 2)
Se1 0.089 0.750 0.934 (multiplicity 2)
Se2 0.092 0.750 0.316 (multiplicity 2)
Se3 0.490 0.503 0.795 (multiplicity 4)

| no. | total magnetic moment (μB/cell) |
| --- | --- |
| 1 | 0.00 |
| 2 | 0.00 |